Entry from the Alexandria database: a PBEsol-optimized structure of Ba5In2Sb6 (SCAN).

The structure in POSCAR format:
```
Ba5In2Sb6
1.0
4.770 0.000 0.000
0.000 13.322 0.000
0.000 0.000 15.267
Ba In Sb
10 4 12
direct
0.500 0.328 0.518
0.500 0.172 0.018
0.500 0.587 0.748
0.500 0.087 0.752
0.500 0.672 0.482
0.500 0.828 0.982
0.500 0.413 0.252
0.500 0.500 0.000
0.500 0.000 0.500
0.500 0.913 0.248
0.000 0.673 0.289
0.000 0.327 0.711
0.000 0.827 0.789
0.000 0.173 0.211
0.000 0.157 0.596
0.500 0.837 0.682
0.500 0.337 0.818
0.500 0.163 0.318
0.500 0.663 0.182
0.000 0.843 0.404
0.000 0.485 0.407
0.000 0.015 0.907
0.000 0.515 0.593
0.000 0.657 0.904
0.000 0.985 0.093
0.000 0.343 0.096
```

Calculated values
Magnetization, μB/f.u.: 0.0
Uncorrected formation energy, eV per formula unit: -12.3